Record 1
A plane-wave DFT calculation with GGA-PBE was carried out for an optimized crystal structure of Ac2Si2Tc2B.

Cell lengths 4.353, 6.271, 6.430 Å; angles 73.76, 70.21, 69.69 degrees
Element x y z (fractional)
Ac 0.560 0.186 0.694
Ac 0.440 0.814 0.306
Si 0.189 0.378 0.244
Si 0.811 0.622 0.756
Tc 0.203 0.684 0.910
Tc 0.797 0.316 0.090
B 0.000 0.000 0.000

Its symmetry is C2/m. The calculation puts the uncorrected formation energy at -0.49 eV/atom. The calculation puts the total energy at -7.132 eV per atom.

=====

Record 2
A plane-wave DFT calculation with GGA-PBE was carried out for an optimized crystal structure of AcSi2Tc2B.

Cell lengths 4.275, 4.275, 5.572 Å; angles 90.00, 90.00, 90.00 degrees
Element x y z (fractional)
Ac 0.000 0.000 0.500
Si 0.500 0.500 0.748
Si 0.500 0.500 0.252
Tc 0.500 0.000 0.000
Tc 0.000 0.500 0.000
B 0.000 0.000 0.000

Its symmetry is P4/mmm. The calculation puts the uncorrected formation energy at -0.57 eV/atom. The calculation puts the total energy at -7.631 eV per atom.